No. 1
Below is SiOsN2O after structural relaxation, with properties calculated at the PBE-GGA level.

Cell lengths 3.627, 3.627, 3.449 Å; angles 90.00, 90.00, 90.00 degrees
Fractional positions:
Si 0.000 0.000 0.000
Os 0.500 0.500 0.500
N 0.000 0.500 0.000
N 0.500 0.000 0.000
O 0.000 0.000 0.500

Raw formation energy (meV per atom): 504.9

No. 2
Below is NaPd3O after structural relaxation, with properties calculated at the PBE-GGA level.

Cell lengths 4.282, 4.282, 4.282 Å; angles 90.00, 90.00, 90.00 degrees
Fractional positions:
Na 0.000 0.000 0.000
Pd 0.000 0.500 0.500
Pd 0.500 0.000 0.500
Pd 0.500 0.500 0.000
O 0.500 0.500 0.500

Distance to the lowest polymorph of the same formula (meV per atom): 0.0
Raw formation energy (meV per atom): -95.8

No. 3
Below is LiThCu2Si2 after structural relaxation, with properties calculated at the PBE-GGA level.

Cell lengths 4.112, 4.112, 6.772 Å; angles 90.00, 90.00, 120.00 degrees
Fractional positions:
Li 0.000 0.000 0.000
Th 0.000 0.000 0.500
Cu 0.333 0.667 0.166
Cu 0.667 0.333 0.834
Si 0.333 0.667 0.787
Si 0.667 0.333 0.213

Raw formation energy (meV per atom): -485.3

No. 4
Below is Ac6Sn5Ge after structural relaxation, with properties calculated at the PBE-GGA level.

Cell lengths 7.539, 7.539, 8.481 Å; angles 97.25, 97.25, 108.67 degrees
Fractional positions:
Ac 0.055 0.389 0.722
Ac 0.210 0.210 0.217
Ac 0.389 0.055 0.722
Ac 0.611 0.945 0.278
Ac 0.790 0.790 0.783
Ac 0.945 0.611 0.278
Sn 0.213 0.787 0.000
Sn 0.377 0.623 0.500
Sn 0.500 0.500 0.000
Sn 0.623 0.377 0.500
Sn 0.787 0.213 0.000
Ge 0.000 0.000 0.500

Formation energy (eV per formula unit): -6.9

No. 5
Below is CaSm2HfO6 after structural relaxation, with properties calculated at the PBE-GGA level.

Cell lengths 6.037, 6.037, 6.037 Å; angles 57.63, 57.63, 57.63 degrees
Fractional positions:
Ca 0.000 0.000 0.000
Sm 0.277 0.277 0.277
Sm 0.778 0.778 0.778
Hf 0.492 0.492 0.492
O 0.126 0.678 0.388
O 0.220 0.603 0.846
O 0.388 0.126 0.678
O 0.603 0.846 0.220
O 0.678 0.388 0.126
O 0.846 0.220 0.603

Raw formation energy (meV per atom): -3383.7

No. 6
Below is Be2SnHgB after structural relaxation, with properties calculated at the PBE-GGA level.

Cell lengths 3.926, 3.926, 5.467 Å; angles 90.00, 90.00, 90.00 degrees
Fractional positions:
Be 0.000 0.500 0.000
Be 0.500 0.000 0.000
Sn 0.000 0.000 0.500
Hg 0.500 0.500 0.500
B 0.000 0.000 0.000

Formation energy (eV per formula unit): 2.7

No. 7
Below is BaFeAu after structural relaxation, with properties calculated at the PBE-GGA level.

Cell lengths 4.465, 4.465, 4.841 Å; angles 90.00, 90.00, 120.00 degrees
Fractional positions:
Ba 0.000 0.000 0.000
Fe 0.667 0.333 0.500
Au 0.333 0.667 0.500

Formation energy (eV per formula unit): 0.0

No. 8
Below is KCd2Au after structural relaxation, with properties calculated at the PBE-GGA level.

Cell lengths 4.563, 4.563, 11.026 Å; angles 90.00, 90.00, 90.00 degrees
Fractional positions:
K 0.250 0.250 0.236
K 0.750 0.750 0.764
Cd 0.250 0.250 0.926
Cd 0.250 0.750 0.500
Cd 0.750 0.250 0.500
Cd 0.750 0.750 0.074
Au 0.250 0.250 0.665
Au 0.750 0.750 0.335

Formation energy (eV per formula unit): -0.7

No. 9
Below is LiCaCl after structural relaxation, with properties calculated at the PBE-GGA level.

Cell lengths 5.719, 4.131, 7.086 Å; angles 90.00, 91.03, 90.00 degrees
Fractional positions:
Li 0.017 0.250 0.134
Li 0.983 0.750 0.866
Ca 0.495 0.250 0.773
Ca 0.505 0.750 0.227
Cl 0.262 0.250 0.414
Cl 0.738 0.750 0.586

Distance to the lowest polymorph of the same formula (meV per atom): 0.0
Raw formation energy (meV per atom): -1086.3

No. 10
Below is LaYPuN3 after structural relaxation, with properties calculated at the PBE-GGA level.

Cell lengths 7.363, 3.618, 8.615 Å; angles 90.00, 98.77, 90.00 degrees
Fractional positions:
La 0.172 0.250 0.147
La 0.828 0.750 0.853
Y 0.368 0.750 0.850
Y 0.632 0.250 0.150
Pu 0.067 0.250 0.590
Pu 0.933 0.750 0.410
N 0.113 0.250 0.848
N 0.227 0.750 0.586
N 0.395 0.750 0.123
N 0.605 0.250 0.877
N 0.773 0.250 0.414
N 0.887 0.750 0.152

Raw formation energy (meV per atom): -998.4

No. 11
Below is LiCa2Ni after structural relaxation, with properties calculated at the PBE-GGA level.

Cell lengths 3.520, 3.544, 8.107 Å; angles 90.00, 90.00, 90.00 degrees
Fractional positions:
Li 0.000 0.000 0.000
Ca 0.500 0.500 0.297
Ca 0.500 0.500 0.703
Ni 0.000 0.000 0.500

Formation energy (eV per formula unit): 0.0

No. 12
Below is InB2RuSe after structural relaxation, with properties calculated at the PBE-GGA level.

Cell lengths 4.048, 4.048, 5.468 Å; angles 90.00, 90.00, 90.00 degrees
Fractional positions:
In 0.000 0.000 0.000
B 0.000 0.500 0.500
B 0.500 0.000 0.500
Ru 0.500 0.500 0.500
Se 0.500 0.500 0.000

Raw formation energy (meV per atom): 630.7